Record 1
A relaxed structure of LaSiBIr3, computed with PBE.

```
LaSiBIr3
1.0
2.8878 -6.2187 0.0000
2.8878 6.2187 0.0000
0.0000 0.0000 5.7838
La Si B Ir
2 2 2 6
direct
0.2433 0.7567 0.7500
0.7567 0.2433 0.2500
0.1075 0.8925 0.2500
0.8925 0.1075 0.7500
0.4648 0.5352 0.2500
0.5352 0.4648 0.7500
0.2501 0.2501 0.0000
0.2501 0.2501 0.5000
0.2942 0.7058 0.2500
0.7058 0.2942 0.7500
0.7499 0.7499 0.0000
0.7499 0.7499 0.5000
```

Calculated values
The space group is No. 63. The uncorrected formation energy comes out at -699 meV per atom. Its total DFT energy (no corrections) is -7.967 eV per atom. Its total magnetization is 0.000 Bohr magnetons per cell.



Record 2
A relaxed structure of La2TcBIr, computed with PBE.

```
La2TcBIr
1.0
5.3455 0.0000 0.0000
0.0000 5.3455 0.0000
0.0000 0.0000 3.9991
La Tc B Ir
2 1 1 1
direct
0.0000 0.5000 0.0000
0.5000 0.0000 0.0000
0.0000 0.0000 0.0000
0.0000 0.0000 0.5000
0.5000 0.5000 0.5000
```

Calculated values
The space group is No. 123. The energy of formation comes out at 0.28 eV/atom. Its total DFT energy (no corrections) is -6.874 eV per atom. Its total magnetization is 0.000 Bohr magnetons per cell.